1.
# Li4Mg2CdGe (PBE, relaxed)
# - energy (eV per atom) = -2.29
data_Li4Mg2CdGe
_chemical_formula_sum 'Li4 Mg2 Cd1 Ge1'
_cell_length_a 4.4974
_cell_length_b 4.4974
_cell_length_c 6.9706
_cell_angle_alpha 90.00
_cell_angle_beta 90.00
_cell_angle_gamma 90.00
_symmetry_space_group_name_H-M 'P -4 m 2'
_symmetry_Int_Tables_number 115
loop_
_symmetry_equiv_pos_as_xyz
'x,y,z'
'y,-x,-z'
'-x,-y,z'
'-y,x,-z'
'-x,y,z'
'-y,-x,-z'
'x,-y,z'
'y,x,-z'
loop_
_atom_site_label
_atom_site_type_symbol
_atom_site_fract_x
_atom_site_fract_y
_atom_site_fract_z
Li1 Li 0.0000 0.0000 0.0000
Li2 Li 0.0000 0.5000 0.2325
Li3 Li 0.5000 0.5000 0.5000
Mg1 Mg 0.0000 0.5000 0.7649
Cd1 Cd 0.0000 0.0000 0.5000
Ge1 Ge 0.5000 0.5000 0.0000

2.
# AcTbMo (PBE, relaxed)
# - energy of formation (kJ/mol of atoms) = 122
data_AcTbMo
_chemical_formula_sum 'Ac4 Tb4 Mo4'
_cell_length_a 7.1973
_cell_length_b 7.1973
_cell_length_c 7.1973
_cell_angle_alpha 90.00
_cell_angle_beta 90.00
_cell_angle_gamma 90.00
_symmetry_space_group_name_H-M 'F -4 3 m'
_symmetry_Int_Tables_number 216
_symmetry_space_group_name_Hall 'F -4 2 3'
loop_
_atom_site_label
_atom_site_type_symbol
_atom_site_fract_x
_atom_site_fract_y
_atom_site_fract_z
Ac1 Ac 0.0000 0.0000 0.0000
Tb1 Tb 0.2500 0.2500 0.7500
Mo1 Mo 0.0000 0.0000 0.5000

3.
# SmAuNO (PBE, relaxed)
# - energy (eV per atom) = -6.20
data_SmAuNO
_chemical_formula_sum 'Sm2 Au2 N2 O2'
_cell_length_a 3.9431
_cell_length_b 6.1496
_cell_length_c 5.3235
_cell_angle_alpha 90.00
_cell_angle_beta 90.00
_cell_angle_gamma 90.00
_symmetry_space_group_name_H-M 'P m c 21'
_symmetry_Int_Tables_number 26
loop_
_symmetry_equiv_pos_as_xyz
'x,y,z'
'-x,-y,z+1/2'
'-x,y,z'
'x,-y,z+1/2'
loop_
_atom_site_label
_atom_site_type_symbol
_atom_site_fract_x
_atom_site_fract_y
_atom_site_fract_z
Sm1 Sm 0.0000 0.2200 0.0000
Au1 Au 0.5000 0.2388 0.4798
N1 N 0.0000 0.1597 0.4744
O1 O 0.5000 0.3747 0.9136

4.
# Be3Re2Au2 (PBE, relaxed)
# - energy (eV per atom) = -5.69
data_Be3Re2Au2
_chemical_formula_sum 'Be9 Re6 Au6'
_cell_length_a 4.0342
_cell_length_b 4.0342
_cell_length_c 19.5277
_cell_angle_alpha 90.00
_cell_angle_beta 90.00
_cell_angle_gamma 120.00
_symmetry_space_group_name_H-M 'R 3 m'
_symmetry_Int_Tables_number 160
_symmetry_space_group_name_Hall 'R 3 -2"'
loop_
_atom_site_label
_atom_site_type_symbol
_atom_site_fract_x
_atom_site_fract_y
_atom_site_fract_z
Be1 Be 0.0000 0.0000 0.0000
Be2 Be 0.0000 0.0000 0.2491
Be3 Be 0.0000 0.0000 0.5004
Re1 Re 0.0000 0.0000 0.1214
Re2 Re 0.0000 0.0000 0.6286
Au1 Au 0.0000 0.0000 0.3778
Au2 Au 0.0000 0.0000 0.8731

5.
# Hf2Sc4Bi3C3 (PBE, relaxed)
# - energy (eV per atom) = -7.74
data_Hf2Sc4Bi3C3
_chemical_formula_sum 'Hf8 Sc16 Bi12 C12'
_cell_length_a 10.3177
_cell_length_b 5.9575
_cell_length_c 14.9962
_cell_angle_alpha 90.00
_cell_angle_beta 103.37
_cell_angle_gamma 90.00
_symmetry_space_group_name_H-M 'C 1 2/c 1'
_symmetry_Int_Tables_number 15
loop_
_symmetry_equiv_pos_as_xyz
'x,y,z'
'-x,-y,-z'
'-x,y,-z+1/2'
'x,-y,z+1/2'
'x+1/2,y+1/2,z'
'-x+1/2,-y+1/2,-z'
'-x+1/2,y+1/2,-z+1/2'
'x+1/2,-y+1/2,z+1/2'
loop_
_atom_site_label
_atom_site_type_symbol
_atom_site_fract_x
_atom_site_fract_y
_atom_site_fract_z
Hf1 Hf 0.0597 0.0859 0.4213
Sc1 Sc 0.1109 0.4222 0.5818
Sc2 Sc 0.2198 0.4132 0.9183
Bi1 Bi 0.0000 0.4163 0.2500
Bi2 Bi 0.1655 0.0808 0.7490
C1 C 0.0799 0.2404 0.0000
C2 C 0.2500 0.2500 0.5000

6.
# Hf3Zr3Ga2Fe (PBE, relaxed)
# - energy (eV per atom) = -8.10
data_Hf3Zr3Ga2Fe
_chemical_formula_sum 'Hf3 Zr3 Ga2 Fe1'
_cell_length_a 7.8365
_cell_length_b 7.8365
_cell_length_c 3.3008
_cell_angle_alpha 90.00
_cell_angle_beta 90.00
_cell_angle_gamma 120.00
_symmetry_space_group_name_H-M 'P -6 2 m'
_symmetry_Int_Tables_number 189
_symmetry_space_group_name_Hall 'P -6 -2'
loop_
_atom_site_label
_atom_site_type_symbol
_atom_site_fract_x
_atom_site_fract_y
_atom_site_fract_z
Hf1 Hf 0.0000 0.3994 0.0000
Zr1 Zr 0.0000 0.7485 0.5000
Ga1 Ga 0.3333 0.6667 0.5000
Fe1 Fe 0.0000 0.0000 0.0000

7.
# TlCuGeTeS2 (PBE, relaxed)
# - energy (eV per atom) = -3.83
data_TlCuGeTeS2
_chemical_formula_sum 'Tl4 Cu4 Ge4 Te4 S8'
_cell_length_a 3.5006
_cell_length_b 15.4800
_cell_length_c 10.8186
_cell_angle_alpha 90.00
_cell_angle_beta 90.00
_cell_angle_gamma 90.00
_symmetry_space_group_name_H-M 'C m c m'
_symmetry_Int_Tables_number 63
_symmetry_space_group_name_Hall '-C 2c 2'
loop_
_atom_site_label
_atom_site_type_symbol
_atom_site_fract_x
_atom_site_fract_y
_atom_site_fract_z
Tl1 Tl 0.0000 0.2327 0.2500
Cu1 Cu 0.0000 0.4306 0.7500
Ge1 Ge 0.0000 0.0000 0.0000
Te1 Te 0.0000 0.0674 0.7500
S1 S 0.0000 0.3901 0.5520

8.
# KAgNO (PBE, relaxed)
# - energy (eV per atom) = -3.39
data_KAgNO
_chemical_formula_sum 'K2 Ag2 N2 O2'
_cell_length_a 4.6245
_cell_length_b 4.6245
_cell_length_c 6.5480
_cell_angle_alpha 90.00
_cell_angle_beta 90.00
_cell_angle_gamma 90.00
_symmetry_space_group_name_H-M 'P 4/n m m'
_symmetry_Int_Tables_number 129
loop_
_symmetry_equiv_pos_as_xyz
'x,y,z'
'-x,-y,-z'
'-y+1/2,x,z'
'y+1/2,-x,-z'
'-x+1/2,-y+1/2,z'
'x+1/2,y+1/2,-z'
'y,-x+1/2,z'
'-y,x+1/2,-z'
'x+1/2,-y,-z'
'-x+1/2,y,z'
'-y,-x,-z'
'y,x,z'
'-x,y+1/2,-z'
'x,-y+1/2,z'
'y+1/2,x+1/2,-z'
'-y+1/2,-x+1/2,z'
loop_
_atom_site_label
_atom_site_type_symbol
_atom_site_fract_x
_atom_site_fract_y
_atom_site_fract_z
K1 K 0.2500 0.7500 0.0000
Ag1 Ag 0.2500 0.2500 0.4743
N1 N 0.2500 0.2500 0.1746
O1 O 0.2500 0.7500 0.5000

9.
# KNdSiSe3 (PBE, relaxed)
# - energy (eV per atom) = -4.65
data_KNdSiSe3
_chemical_formula_sum 'K4 Nd4 Si4 Se12'
_cell_length_a 4.7007
_cell_length_b 13.6164
_cell_length_c 11.5006
_cell_angle_alpha 90.00
_cell_angle_beta 90.00
_cell_angle_gamma 90.00
_symmetry_space_group_name_H-M 'C m c m'
_symmetry_Int_Tables_number 63
_symmetry_space_group_name_Hall '-C 2c 2'
loop_
_atom_site_label
_atom_site_type_symbol
_atom_site_fract_x
_atom_site_fract_y
_atom_site_fract_z
K1 K 0.0000 0.2439 0.2500
Nd1 Nd 0.0000 0.5000 0.0000
Si1 Si 0.0000 0.0221 0.7500
Se1 Se 0.0000 0.1283 0.5763
Se2 Se 0.0000 0.4482 0.7500

10.
# CsZnAg (PBE, relaxed)
# - energy (eV per atom) = -1.37
data_CsZnAg
_chemical_formula_sum 'Cs4 Zn4 Ag4'
_cell_length_a 7.9176
_cell_length_b 7.9176
_cell_length_c 7.9176
_cell_angle_alpha 90.00
_cell_angle_beta 90.00
_cell_angle_gamma 90.00
_symmetry_space_group_name_H-M 'F -4 3 m'
_symmetry_Int_Tables_number 216
_symmetry_space_group_name_Hall 'F -4 2 3'
loop_
_atom_site_label
_atom_site_type_symbol
_atom_site_fract_x
_atom_site_fract_y
_atom_site_fract_z
Cs1 Cs 0.0000 0.0000 0.0000
Zn1 Zn 0.0000 0.0000 0.5000
Ag1 Ag 0.2500 0.2500 0.2500

11.
# DyCuSnTe3 (PBE, relaxed)
# - energy (eV per atom) = -4.24
data_DyCuSnTe3
_chemical_formula_sum 'Dy4 Cu4 Sn4 Te12'
_cell_length_a 8.8778
_cell_length_b 4.4429
_cell_length_c 17.2323
_cell_angle_alpha 90.00
_cell_angle_beta 90.00
_cell_angle_gamma 90.00
_symmetry_space_group_name_H-M 'P n m a'
_symmetry_Int_Tables_number 62
loop_
_symmetry_equiv_pos_as_xyz
'x,y,z'
'-x,-y,-z'
'-x+1/2,-y,z+1/2'
'x+1/2,y,-z+1/2'
'x+1/2,-y+1/2,-z+1/2'
'-x+1/2,y+1/2,z+1/2'
'-x,y+1/2,-z'
'x,-y+1/2,z'
loop_
_atom_site_label
_atom_site_type_symbol
_atom_site_fract_x
_atom_site_fract_y
_atom_site_fract_z
Dy1 Dy 0.2498 0.2500 0.0376
Cu1 Cu 0.1246 0.2500 0.3710
Sn1 Sn 0.0806 0.2500 0.7751
Te1 Te 0.0192 0.2500 0.5963
Te2 Te 0.1146 0.7500 0.9376
Te3 Te 0.1889 0.2500 0.2184

12.
# AgSnNO (PBE, relaxed)
# - energy (eV per atom) = -5.15
data_AgSnNO
_chemical_formula_sum 'Ag4 Sn4 N4 O4'
_cell_length_a 6.1297
_cell_length_b 7.4042
_cell_length_c 5.6537
_cell_angle_alpha 90.00
_cell_angle_beta 90.00
_cell_angle_gamma 90.00
_symmetry_space_group_name_H-M 'P c a 21'
_symmetry_Int_Tables_number 29
loop_
_symmetry_equiv_pos_as_xyz
'x,y,z'
'-x,-y,z+1/2'
'-x+1/2,y,z+1/2'
'x+1/2,-y,z'
loop_
_atom_site_label
_atom_site_type_symbol
_atom_site_fract_x
_atom_site_fract_y
_atom_site_fract_z
Ag1 Ag 0.0873 0.1430 0.0000
Sn1 Sn 0.0819 0.6251 0.9739
N1 N 0.1033 0.5899 0.6082
O1 O 0.0359 0.1429 0.5755